# LiMn6O4F8

Crystalline LiMn6O4F8 at its relaxed geometry (PBE with a Hubbard U, Alexandria).

Lattice parameters (Å, degrees): 4.987 5.850 7.969 92.06 95.00 93.59
Atoms (fractional coordinates):
Li1 0.000 0.000 0.000
Mn1 0.321 0.297 0.419
Mn2 0.393 0.014 0.742
Mn3 0.462 0.743 0.101
Mn4 0.663 0.291 0.129
Mn5 0.883 0.501 0.772
Mn6 0.887 0.791 0.422
O1 0.177 0.017 0.532
O2 0.578 0.530 0.294
O3 0.603 0.027 0.970
O4 0.661 0.519 0.972
F1 0.077 0.520 0.542
F2 0.084 0.260 0.188
F3 0.091 0.800 0.194
F4 0.122 0.226 0.845
F5 0.166 0.764 0.866
F6 0.599 0.284 0.635
F7 0.616 0.047 0.302
F8 0.664 0.786 0.647

Calculated values
Space group = P1, No. 1
Spin magnetization = 1.421 μB/atom
ΔE to the lowest computed polymorph = 12 meV per atom